A relaxed BaCu2Re crystal, computed with GGA-PBE.

POSCAR file:
```
BaCu2Re
1.0
4.507 -0.121 -0.200
3.565 2.760 -0.200
1.214 0.397 6.443
Cu Re Ba
2 1 1
direct
0.023 0.023 0.902
0.745 0.745 0.737
0.480 0.480 0.610
0.253 0.253 0.251
```

excess energy over the best structure of this formula in the dataset: 0.2930 eV per atom

***

A relaxed BaCu4Re crystal, computed with GGA-PBE.

POSCAR file:
```
BaCu4Re
1.0
0.000 3.671 3.671
3.671 0.000 3.671
3.671 3.671 0.000
Re Cu Ba
1 4 1
direct
0.750 0.750 0.750
0.378 0.378 0.867
0.378 0.867 0.378
0.378 0.378 0.378
0.867 0.378 0.378
0.000 0.000 0.000
```

E_tot: -4.427 eV/atom

***

A relaxed BaCu2Re crystal, computed with GGA-PBE.

POSCAR file:
```
BaCu2Re
1.0
-2.031 2.805 -4.566
-5.459 -1.388 -1.055
3.635 2.381 3.736
Cu Re Ba
2 1 1
direct
0.948 0.948 0.000
0.552 0.552 0.000
0.750 0.250 0.500
0.250 0.750 0.500
```

excess energy over the best structure of this formula in the dataset: 0.5434 eV per atom

***

A relaxed BaCu2Re crystal, computed with GGA-PBE.

POSCAR file:
```
BaCu2Re
1.0
-0.490 0.015 3.169
1.292 -2.927 0.214
6.742 3.051 1.026
Cu Re Ba
2 1 1
direct
0.000 0.000 0.421
0.000 0.000 0.079
0.500 0.500 0.250
0.500 0.500 0.750
```

excess energy over the best structure of this formula in the dataset: 0.1820 eV per atom

***

A relaxed BaCu2Re crystal, computed with GGA-PBE.

POSCAR file:
```
BaCu2Re
1.0
4.913 0.000 0.000
0.000 4.913 0.000
2.457 2.457 8.609
Ba Re Cu
2 2 4
direct
0.500 0.500 0.000
0.250 0.750 0.500
0.750 0.250 0.500
0.000 0.000 0.000
0.875 0.125 0.750
0.375 0.125 0.750
0.875 0.625 0.250
0.875 0.125 0.250
```

excess energy over the best structure of this formula in the dataset: 0.3937 eV per atom

***

A relaxed BaCu2Re crystal, computed with GGA-PBE.

POSCAR file:
```
BaCu2Re
1.0
-1.353 -3.006 3.609
3.363 -1.865 3.018
0.219 1.505 4.646
Cu Re Ba
2 1 1
direct
0.000 0.000 0.000
0.250 0.250 0.250
0.750 0.750 0.750
0.500 0.500 0.500
```

excess energy over the best structure of this formula in the dataset: 0.8128 eV per atom

***

A relaxed BaCuRe2 crystal, computed with GGA-PBE.

POSCAR file:
```
BaCuRe2
1.0
-4.106 4.100 -0.895
-4.866 -2.475 -2.158
3.680 0.425 4.555
Re Cu Ba
2 1 1
direct
0.009 0.009 0.000
0.181 0.681 0.500
0.803 0.303 0.500
0.507 0.507 0.000
```

excess energy over the best structure of this formula in the dataset: 0.6608 eV per atom

***

A relaxed BaCuRe2 crystal, computed with GGA-PBE.

POSCAR file:
```
BaCuRe2
1.0
3.332 0.000 0.000
0.000 3.331 0.000
0.000 0.000 7.533
Re Cu Ba
2 1 1
direct
0.000 0.000 0.599
0.000 0.000 0.901
0.500 0.500 0.750
0.500 0.500 0.250
```

excess energy over the best structure of this formula in the dataset: 0.5331 eV per atom

***

A relaxed BaCuRe2 crystal, computed with GGA-PBE.

POSCAR file:
```
BaCuRe2
1.0
0.000 3.303 3.303
3.303 0.000 3.303
3.303 3.303 0.000
Ba Re Cu
1 2 1
direct
0.500 0.500 0.500
0.750 0.750 0.750
0.250 0.250 0.250
0.000 0.000 0.000
```

excess energy over the best structure of this formula in the dataset: 1.3736 eV per atom

***

A relaxed BaCu2Re crystal, computed with GGA-PBE.

POSCAR file:
```
BaCu2Re
1.0
-2.360 -4.810 -2.361
3.238 -3.329 -3.567
-1.092 2.326 5.262
Cu Re Ba
2 1 1
direct
0.755 0.255 0.500
0.965 0.965 0.000
0.535 0.535 0.000
0.244 0.744 0.500
```

excess energy over the best structure of this formula in the dataset: 0.4604 eV per atom

***

A relaxed BaCuRe2 crystal, computed with GGA-PBE.

POSCAR file:
```
BaCuRe2
1.0
4.798 0.000 0.000
0.000 4.798 0.000
2.399 2.399 9.063
Re Cu Ba
4 2 2
direct
0.875 0.625 0.750
0.375 0.625 0.750
0.375 0.125 0.250
0.375 0.625 0.250
0.500 0.500 0.000
0.250 0.750 0.500
0.750 0.250 0.500
0.000 0.000 0.000
```

excess energy over the best structure of this formula in the dataset: 0.7298 eV per atom

***

A relaxed BaCu2Re crystal, computed with GGA-PBE.

POSCAR file:
```
BaCu2Re
1.0
-1.203 0.756 2.579
2.240 -3.922 2.194
3.998 2.858 1.028
Cu Re Ba
2 1 1
direct
0.000 0.000 0.000
0.000 0.500 0.500
0.500 0.500 0.000
0.500 0.000 0.500
```

excess energy over the best structure of this formula in the dataset: 0.4546 eV per atom

***

One value per record, in order, for total magnetization: 0.1, 1.0, 1.7, 0.0, 5.6, 2.9, 0.0, 0.0, 0.0, 0.0, 0.0, 0.4 μB/cell.